Record 1
DFT (PBEsol) results for crystalline CaY2Ag at its relaxed geometry.

The structure in CIF format:
```
data_CaY2Ag
_cell_length_a 4.106
_cell_length_b 5.109
_cell_length_c 5.109
_cell_angle_alpha 90.00
_cell_angle_beta 90.00
_cell_angle_gamma 90.00
_symmetry_space_group_name_H-M 'P 1'
_symmetry_Int_Tables_number 1
_symmetry_space_group_name_Hall 'P 1'
loop_
_atom_site_label
_atom_site_fract_x
_atom_site_fract_y
_atom_site_fract_z
Ag1 0.500 0.500 0.500
Y1 0.000 0.000 0.500
Y2 0.000 0.500 0.000
Ca1 0.500 0.000 0.000
```

Values from the calculation:
Formation enthalpy at 0 K ... 0.04 eV/atom
SG ... P4/mmm, No. 123
Polymorph energy (0 for the lowest one) ... 138 meV per atom

=====

Record 2
DFT (PBEsol) results for crystalline CaY2Ag2 at its relaxed geometry.

The structure in CIF format:
```
data_CaY2Ag2
_cell_length_a 3.721
_cell_length_b 8.309
_cell_length_c 8.309
_cell_angle_alpha 90.00
_cell_angle_beta 90.00
_cell_angle_gamma 90.00
_symmetry_space_group_name_H-M 'P 1'
_symmetry_Int_Tables_number 1
_symmetry_space_group_name_Hall 'P 1'
loop_
_atom_site_label
_atom_site_fract_x
_atom_site_fract_y
_atom_site_fract_z
Ca1 0.000 0.000 0.000
Ca2 0.000 0.500 0.500
Y1 0.500 0.659 0.841
Y2 0.500 0.159 0.659
Y3 0.500 0.841 0.341
Y4 0.500 0.341 0.159
Ag1 0.000 0.629 0.129
Ag2 0.000 0.871 0.629
Ag3 0.000 0.129 0.371
Ag4 0.000 0.371 0.871
```

Values from the calculation:
Formation enthalpy at 0 K ... -0.23 eV/atom
SG ... P4/mbm, No. 127